The following is a DFT calculation (PBE-GGA) of Ce2Dy2S7 after structural relaxation.

```
Ce2Dy2S7
1.0
-0.2217 3.8824 -0.8101
-8.2500 1.6341 0.3507
-3.1325 3.3281 7.0688
S Ce Dy
7 2 2
Direct
0.6105 0.4974 0.2815
0.8145 0.0740 0.2970
0.1376 0.1429 0.5820
0.8624 0.4180 0.8571
0.3895 0.7185 0.5026
0.5000 0.0108 0.9892
0.1855 0.7030 0.9260
0.7400 0.8434 0.6767
0.2600 0.3233 0.1566
0.0000 0.7906 0.2094
0.5000 0.3321 0.6679
```

Properties
- space group = Imm2 (44)
- E_tot (eV/atom) = -6.424
- theoretical density (g/cm3) = 5.790
- formation energy from raw total energies (eV per atom) = -1.88

=====

The following is a DFT calculation (PBE-GGA) of Ce3Dy4S8 after structural relaxation.

```
Ce3Dy4S8
1.0
-5.8922 -2.6886 -4.5049
7.2304 0.9003 -3.0946
3.0072 -4.5899 5.7057
S Dy Ce
8 4 3
Direct
0.0000 0.2472 0.7528
0.5000 0.7539 0.2461
0.4931 0.2425 0.2425
0.9932 0.2448 0.2448
0.0068 0.7552 0.7552
0.5000 0.2461 0.7539
0.5069 0.7575 0.7575
0.0000 0.7528 0.2472
0.0000 0.0000 0.0000
0.5000 0.0000 0.0000
0.0000 0.0000 0.5000
0.0000 0.5000 0.0000
0.5000 0.5000 0.5000
0.5000 0.5000 0.0000
0.5000 0.0000 0.5000
```

Properties
- space group = C2/m (12)
- E_tot (eV/atom) = -6.657
- theoretical density (g/cm3) = 6.276
- formation energy from raw total energies (eV per atom) = -2.04